A relaxed structure of LiCoO2F. Source: Alexandria, functional PBE+U.

Its total moment is 2.5 μB/cell. The value obtained for the energy is -4.16 eV per atom.

CIF file:
```
data_LiCoO2F
_cell_length_a 3.552
_cell_length_b 3.552
_cell_length_c 3.789
_cell_angle_alpha 90.00
_cell_angle_beta 90.00
_cell_angle_gamma 90.00
_symmetry_space_group_name_H-M 'P 4/m m m'
_symmetry_Int_Tables_number 123
_symmetry_space_group_name_Hall '-P 4 2'
loop_
_atom_site_label
_atom_site_type_symbol
_atom_site_fract_x
_atom_site_fract_y
_atom_site_fract_z
Li1 Li 0.000 0.000 0.000
Co1 Co 0.500 0.500 0.500
O1 O 0.000 0.500 0.000
F1 F 0.000 0.000 0.500
```